Density functional theory data (PBE) for TbCoCuSi2 after structural relaxation.

a = 5.608 Å, b = 5.608 Å, c = 5.608 Å
α = 138.42°, β = 138.42°, γ = 60.26°
Element x y z (fractional)
1 Tb 0.000 0.000 0.000
2 Co 0.750 0.250 0.500
3 Cu 0.250 0.750 0.500
4 Si 0.376 0.376 0.000
5 Si 0.624 0.624 0.000

Computed properties:
D(E_F) = 2.6 states/eV per cell
E_form (uncorrected) = -0.6532 eV/atom



Density functional theory data (PBE) for Na5Sn3Sb3 after structural relaxation.

a = 10.135 Å, b = 10.135 Å, c = 4.416 Å
α = 90.00°, β = 90.00°, γ = 120.00°
Element x y z (fractional)
1 Na 0.000 0.249 0.000
2 Na 0.249 0.000 0.000
3 Na 0.333 0.667 0.000
4 Na 0.667 0.333 0.000
5 Na 0.751 0.751 0.000
6 Sn 0.000 0.484 0.500
7 Sn 0.484 0.000 0.500
8 Sn 0.516 0.516 0.500
9 Sb 0.000 0.662 0.000
10 Sb 0.338 0.338 0.000
11 Sb 0.662 0.000 0.000

Computed properties:
D(E_F) = 4.5 states/eV per cell
E_form (uncorrected) = -0.1413 eV/atom



Density functional theory data (PBE) for Hf6In5Hg after structural relaxation.

a = 5.417 Å, b = 6.239 Å, c = 7.641 Å
α = 90.00°, β = 90.24°, γ = 90.00°
Element x y z (fractional)
1 Hf 0.000 0.250 0.000
2 Hf 0.000 0.750 0.000
3 Hf 0.334 0.250 0.333
4 Hf 0.334 0.750 0.333
5 Hf 0.666 0.250 0.667
6 Hf 0.666 0.750 0.667
7 In 0.165 0.000 0.666
8 In 0.166 0.500 0.667
9 In 0.500 0.000 0.000
10 In 0.834 0.500 0.333
11 In 0.835 0.000 0.334
12 Hg 0.500 0.500 0.000

Computed properties:
D(E_F) = 9.5 states/eV per cell
energy relative to the elements = -0.134 eV per atom



Density functional theory data (PBE) for Ag2Sn5Au2 after structural relaxation.

a = 9.786 Å, b = 9.786 Å, c = 9.786 Å
α = 63.16°, β = 136.59°, γ = 136.47°
Element x y z (fractional)
1 Ag 0.018 0.084 0.102
2 Ag 0.018 0.416 0.434
3 Ag 0.982 0.584 0.566
4 Ag 0.982 0.916 0.898
5 Sn 0.104 0.734 0.870
6 Sn 0.126 0.155 0.656
7 Sn 0.126 0.970 0.471
8 Sn 0.499 0.067 0.270
9 Sn 0.499 0.470 0.344
10 Sn 0.499 0.655 0.529
11 Sn 0.499 0.728 0.932
12 Sn 0.797 0.228 0.730
13 Sn 0.797 0.567 0.068
14 Sn 0.865 0.234 0.130
15 Au 0.343 0.343 0.000
16 Au 0.343 0.843 0.500
17 Au 0.591 0.849 0.242
18 Au 0.607 0.349 0.758

Computed properties:
D(E_F) = 6.5 states/eV per cell
energy relative to the elements = -0.016 eV per atom



Density functional theory data (PBE) for Zr2CrCl after structural relaxation.

a = 3.156 Å, b = 3.156 Å, c = 7.721 Å
α = 90.00°, β = 90.00°, γ = 90.00°
Element x y z (fractional)
1 Zr 0.000 0.000 0.206
2 Zr 0.000 0.000 0.794
3 Cr 0.500 0.500 0.000
4 Cl 0.500 0.500 0.500

Computed properties:
excess energy over the best structure of this formula in the dataset = 123 meV per atom
D(E_F) = 3.6 states/eV per cell
E_form (uncorrected) = -0.2780 eV/atom



Density functional theory data (PBE) for Cs4IrSe4 after structural relaxation.

a = 10.139 Å, b = 10.139 Å, c = 7.471 Å
α = 90.00°, β = 90.00°, γ = 90.00°
Element x y z (fractional)
1 Cs 0.022 0.250 0.097
2 Cs 0.250 0.022 0.597
3 Cs 0.250 0.478 0.597
4 Cs 0.478 0.250 0.097
5 Cs 0.522 0.750 0.903
6 Cs 0.750 0.522 0.403
7 Cs 0.750 0.978 0.403
8 Cs 0.978 0.750 0.903
9 Ir 0.250 0.750 0.250
10 Ir 0.750 0.250 0.750
11 Se 0.044 0.750 0.409
12 Se 0.250 0.544 0.091
13 Se 0.250 0.956 0.091
14 Se 0.456 0.750 0.409
15 Se 0.544 0.250 0.591
16 Se 0.750 0.044 0.909
17 Se 0.750 0.456 0.909
18 Se 0.956 0.250 0.591

Computed properties:
excess energy over the best structure of this formula in the dataset = 0 meV per atom
D(E_F) = 11.0 states/eV per cell
E_form (uncorrected) = -0.7504 eV/atom



Density functional theory data (PBE) for VBiS2 after structural relaxation.

a = 8.771 Å, b = 8.771 Å, c = 8.771 Å
α = 22.08°, β = 22.08°, γ = 22.08°
Element x y z (fractional)
1 V 0.000 0.000 0.000
2 Bi 0.500 0.500 0.500
3 S 0.388 0.388 0.388
4 S 0.612 0.612 0.612

Computed properties:
D(E_F) = 4.5 states/eV per cell
E_form (uncorrected) = -0.5762 eV/atom



Density functional theory data (PBE) for Ho2LuTl after structural relaxation.

a = 3.561 Å, b = 3.561 Å, c = 9.168 Å
α = 90.00°, β = 90.00°, γ = 90.00°
Element x y z (fractional)
1 Ho 0.000 0.000 0.235
2 Ho 0.000 0.000 0.765
3 Lu 0.500 0.500 0.500
4 Tl 0.500 0.500 0.000

Computed properties:
excess energy over the best structure of this formula in the dataset = 8 meV per atom
D(E_F) = 4.7 states/eV per cell
energy relative to the elements = -0.156 eV per atom



Density functional theory data (PBE) for Pa2Cu2Si3 after structural relaxation.

a = 9.162 Å, b = 9.162 Å, c = 6.489 Å
α = 90.00°, β = 90.00°, γ = 153.37°
Element x y z (fractional)
1 Pa 0.049 0.951 0.750
2 Pa 0.157 0.843 0.250
3 Pa 0.843 0.157 0.750
4 Pa 0.951 0.049 0.250
5 Cu 0.313 0.687 0.061
6 Cu 0.313 0.687 0.439
7 Cu 0.687 0.313 0.561
8 Cu 0.687 0.313 0.939
9 Si 0.219 0.781 0.750
10 Si 0.438 0.562 0.568
11 Si 0.438 0.562 0.932
12 Si 0.562 0.438 0.068
13 Si 0.562 0.438 0.432
14 Si 0.781 0.219 0.250

Computed properties:
D(E_F) = 13.9 states/eV per cell
E_form (uncorrected) = -0.4473 eV/atom



Density functional theory data (PBE) for Tb6NiBi3 after structural relaxation.

a = 9.347 Å, b = 9.347 Å, c = 7.502 Å
α = 90.00°, β = 90.00°, γ = 103.56°
Element x y z (fractional)
1 Tb 0.005 0.995 0.500
2 Tb 0.093 0.600 0.584
3 Tb 0.244 0.756 0.050
4 Tb 0.294 0.375 0.077
5 Tb 0.375 0.294 0.577
6 Tb 0.400 0.907 0.584
7 Tb 0.600 0.093 0.084
8 Tb 0.625 0.706 0.077
9 Tb 0.706 0.625 0.577
10 Tb 0.756 0.244 0.550
11 Tb 0.907 0.400 0.084
12 Tb 0.995 0.005 0.000
13 Ni 0.140 0.860 0.755
14 Ni 0.860 0.140 0.255
15 Bi 0.073 0.292 0.757
16 Bi 0.292 0.073 0.257
17 Bi 0.394 0.606 0.386
18 Bi 0.606 0.394 0.886
19 Bi 0.708 0.927 0.757
20 Bi 0.927 0.708 0.257

Computed properties:
D(E_F) = 23.5 states/eV per cell
energy relative to the elements = -0.384 eV per atom



Density functional theory data (PBE) for Ac3Si2S after structural relaxation.

a = 7.837 Å, b = 7.837 Å, c = 7.837 Å
α = 146.94°, β = 132.31°, γ = 59.26°
Element x y z (fractional)
1 Ac 0.000 0.000 0.000
2 Ac 0.337 0.337 0.000
3 Ac 0.663 0.663 0.000
4 Si 0.165 0.665 0.500
5 Si 0.835 0.335 0.500
6 S 0.500 0.000 0.500

Computed properties:
D(E_F) = 4.0 states/eV per cell
E_form (uncorrected) = -0.9801 eV/atom



Density functional theory data (PBE) for Li2CeMgTl2 after structural relaxation.

a = 4.863 Å, b = 4.863 Å, c = 6.881 Å
α = 90.00°, β = 90.00°, γ = 120.00°
Element x y z (fractional)
1 Li 0.333 0.667 0.182
2 Li 0.667 0.333 0.818
3 Ce 0.000 0.000 0.500
4 Mg 0.000 0.000 0.000
5 Tl 0.333 0.667 0.739
6 Tl 0.667 0.333 0.261

Computed properties:
D(E_F) = 9.5 states/eV per cell
energy relative to the elements = -0.205 eV per atom



Density functional theory data (PBE) for TlPd3C after structural relaxation.

a = 4.245 Å, b = 4.245 Å, c = 4.245 Å
α = 90.00°, β = 90.00°, γ = 90.00°
Element x y z (fractional)
1 Tl 0.000 0.000 0.000
2 Pd 0.000 0.500 0.500
3 Pd 0.500 0.000 0.500
4 Pd 0.500 0.500 0.000
5 C 0.500 0.500 0.500

Computed properties:
excess energy over the best structure of this formula in the dataset = 0 meV per atom
D(E_F) = 2.9 states/eV per cell
energy relative to the elements = 0.202 eV per atom



Density functional theory data (PBE) for NaMnGa2N after structural relaxation.

a = 5.102 Å, b = 5.102 Å, c = 3.657 Å
α = 90.00°, β = 90.00°, γ = 90.00°
Element x y z (fractional)
1 Na 0.000 0.000 0.000
2 Mn 0.500 0.500 0.500
3 Ga 0.000 0.500 0.500
4 Ga 0.500 0.000 0.500
5 N 0.500 0.500 0.000

Computed properties:
D(E_F) = 2.5 states/eV per cell
E_form (uncorrected) = 0.2079 eV/atom



Density functional theory data (PBE) for TlHgS6 after structural relaxation.

a = 4.706 Å, b = 7.067 Å, c = 7.500 Å
α = 89.08°, β = 72.89°, γ = 83.54°
Element x y z (fractional)
1 Tl 0.000 0.000 0.000
2 Hg 0.500 0.500 0.000
3 S 0.279 0.384 0.776
4 S 0.330 0.054 0.285
5 S 0.364 0.797 0.396
6 S 0.636 0.203 0.604
7 S 0.670 0.946 0.715
8 S 0.721 0.616 0.224

Computed properties:
D(E_F) = 2.9 states/eV per cell
E_form (uncorrected) = 0.0273 eV/atom



Density functional theory data (PBE) for TaB2OF after structural relaxation.

a = 4.385 Å, b = 4.385 Å, c = 3.966 Å
α = 90.00°, β = 90.00°, γ = 90.00°
Element x y z (fractional)
1 Ta 0.000 0.000 0.000
2 B 0.000 0.500 0.000
3 B 0.500 0.000 0.000
4 O 0.500 0.500 0.500
5 F 0.000 0.000 0.500

Computed properties:
D(E_F) = 4.7 states/eV per cell
E_form (uncorrected) = 0.9402 eV/atom